(1)
DFT (PBE) results for a relaxed Tm2NiPt crystal.

a = 5.4594 Å, b = 4.2538 Å, c = 7.4782 Å
α = 90.00°, β = 110.13°, γ = 90.00°
Last column: nearest neighbours and their distance in Å.
Positions (direct):
Ni 0.3384 0.7500 0.7077  2 Pt 2.68, 7 Tm 2.85-2.95
Pt 0.3433 0.7500 0.2121  2 Ni 2.68, 7 Tm 2.89-2.92
Tm 0.7831 0.7500 0.5696  4 Ni 2.85-2.95, 3 Pt 2.91
Ni 0.6616 0.2500 0.2923  2 Pt 2.68, 7 Tm 2.85-2.95
Tm 0.7794 0.7500 0.0707  4 Pt 2.89-2.92, 3 Ni 2.90-2.94
Pt 0.6567 0.2500 0.7879  2 Ni 2.68, 7 Tm 2.89-2.92
Tm 0.2206 0.2500 0.9293  4 Pt 2.89-2.92, 3 Ni 2.90-2.94
Tm 0.2169 0.2500 0.4304  4 Ni 2.85-2.95, 3 Pt 2.91



(2)
DFT (PBE) results for a relaxed AgP2O6 crystal.

a = 6.7826 Å, b = 6.7826 Å, c = 4.9691 Å
α = 91.71°, β = 91.71°, γ = 84.09°
Last column: nearest neighbours and their distance in Å.
Positions (direct):
O 0.3485 0.3512 0.5122  2 P 1.61
P 0.3699 0.1980 0.7554  4 O 1.50-1.61
O 0.2082 0.0610 0.7437  1 P 1.51
O 0.6488 0.6515 0.9878  2 P 1.61
O 0.9390 0.7918 0.7563  1 P 1.51
P 0.1980 0.3699 0.2554  4 O 1.50-1.61
O 0.0610 0.2082 0.2437  1 P 1.51
P 0.6301 0.8020 0.2446  4 O 1.50-1.61
P 0.8020 0.6301 0.7446  4 O 1.50-1.61
Ag 0.1170 0.8830 0.2500  4 O 2.12-2.20
O 0.5742 0.0909 0.7565  1 P 1.50
Ag 0.8830 0.1170 0.7500  4 O 2.12-2.20
O 0.9091 0.4258 0.7435  1 P 1.50
O 0.3512 0.3485 0.0122  2 P 1.61
O 0.7918 0.9390 0.2563  1 P 1.51
O 0.0909 0.5742 0.2565  1 P 1.50
O 0.4258 0.9091 0.2435  1 P 1.50
O 0.6515 0.6488 0.4878  2 P 1.61



(3)
DFT (PBE) results for a relaxed Pr crystal.

a = 3.7163 Å, b = 3.7163 Å, c = 6.4105 Å
α = 106.85°, β = 106.85°, γ = 60.00°
Last column: nearest neighbours and their distance in Å.
Positions (direct):
Pr 0.2500 0.2500 0.7500  12 Pr 3.70-3.72
Pr 0.7500 0.7500 0.2500  12 Pr 3.70-3.72



(4)
DFT (PBE) results for a relaxed Nd2HoMg3Pt3 crystal.

a = 4.1084 Å, b = 7.4674 Å, c = 7.4674 Å
α = 119.91°, β = 90.00°, γ = 90.00°
Last column: nearest neighbours and their distance in Å.
Positions (direct):
Ho 0.0000 0.4076 0.4076  5 Pt 2.99-3.00, 6 Mg 3.32-3.34
Pt 0.5000 0.6584 0.3363  3 Mg 2.84-2.98, 2 Ho 3.00, 4 Nd 3.07-3.08
Mg 0.5000 0.0033 0.2431  4 Pt 2.72-2.98
Pt 0.5000 0.3363 0.6584  3 Mg 2.84-2.98, 2 Ho 3.00, 4 Nd 3.07-3.08
Mg 0.5000 0.7557 0.7557  4 Pt 2.78-2.84
Pt 0.0000 0.0072 0.0072  6 Mg 2.72-2.78, 1 Ho 2.99
Nd 0.0000 0.5876 0.0008  5 Pt 3.07-3.11, 6 Mg 3.30-3.40
Mg 0.5000 0.2431 0.0033  4 Pt 2.72-2.98
Nd 0.0000 0.0008 0.5876  5 Pt 3.07-3.11, 6 Mg 3.30-3.40



(5)
DFT (PBE) results for a relaxed MgRe3 crystal.

a = 5.1830 Å, b = 5.1830 Å, c = 5.1830 Å
α = 145.53°, β = 62.89°, γ = 129.15°
Last column: nearest neighbours and their distance in Å.
Positions (direct):
Mg 0.8960 0.8960 0.0000  8 Re 2.70-2.78
Re 0.3963 0.8963 0.5000  4 Re 2.61, 4 Mg 2.70-2.71
Re 0.6402 0.4019 0.2383  6 Re 2.61-2.71, 2 Mg 2.78
Re 0.1635 0.4019 0.7617  6 Re 2.61-2.71, 2 Mg 2.78



(6)
DFT (PBE) results for a relaxed PrPuTe4 crystal.

a = 4.4694 Å, b = 4.4694 Å, c = 9.0378 Å
α = 90.00°, β = 90.00°, γ = 90.00°
Last column: nearest neighbours and their distance in Å.
Positions (direct):
Pr 0.0000 0.0000 0.2717  9 Te 3.29-3.38
Te 0.5000 0.5000 0.3739  1 Pu 3.24, 4 Pr 3.29
Te 0.5000 0.0000 0.9914  4 Te 3.16, 2 Pu 3.23, 2 Pr 3.38
Te 0.0000 0.5000 0.9914  4 Te 3.16, 2 Pu 3.23, 2 Pr 3.38
Te 0.0000 0.0000 0.6388  4 Pu 3.27, 1 Pr 3.32
Pu 0.5000 0.5000 0.7327  9 Te 3.23-3.27



(7)
DFT (PBE) results for a relaxed Rb2Np2Se5 crystal.

a = 9.2895 Å, b = 9.2895 Å, c = 7.9352 Å
α = 90.00°, β = 90.00°, γ = 50.53°
Last column: nearest neighbours and their distance in Å.
Positions (direct):
Np 0.1608 0.8392 0.3392  8 Se 2.84-3.03
Rb 0.2941 0.2941 0.5000  7 Se 3.46-3.53
Rb 0.7059 0.7059 0.5000  7 Se 3.46-3.53
Se 0.9631 0.2524 0.3554  3 Np 2.84-3.03
Np 0.3392 0.6608 0.8392  8 Se 2.84-3.03
Np 0.6608 0.3392 0.1608  8 Se 2.84-3.03
Se 0.5000 0.5000 0.5000  4 Np 2.98
Se 0.2524 0.9631 0.6446  3 Np 2.84-3.03
Se 0.5369 0.2476 0.8554  3 Np 2.84-3.03
Se 0.2476 0.5369 0.1446  3 Np 2.84-3.03
Se 0.7524 0.4631 0.8554  3 Np 2.84-3.03
Se 0.0369 0.7476 0.6446  3 Np 2.84-3.03
Se 0.4631 0.7524 0.1446  3 Np 2.84-3.03
Rb 0.7941 0.7941 0.0000  7 Se 3.46-3.53
Se 0.0000 0.0000 0.0000  4 Np 2.98
Se 0.7476 0.0369 0.3554  3 Np 2.84-3.03
Np 0.8392 0.1608 0.6608  8 Se 2.84-3.03
Rb 0.2059 0.2059 0.0000  7 Se 3.46-3.53



(8)
DFT (PBE) results for a relaxed HfMg2Os crystal.

a = 4.6435 Å, b = 4.6435 Å, c = 4.6435 Å
α = 60.00°, β = 60.00°, γ = 60.00°
Last column: nearest neighbours and their distance in Å.
Positions (direct):
Hf 0.2500 0.2500 0.2500  4 Os 2.84, 4 Mg 2.84
Mg 0.7500 0.7500 0.7500  4 Os 2.84, 4 Mg 2.84
Os 0.5000 0.5000 0.5000  4 Mg 2.84, 4 Hf 2.84
Mg 0.0000 0.0000 0.0000  4 Hf 2.84, 4 Mg 2.84



Here are the calculated final energy numbers, same order: -6.065 -6.437 -4.769 -5.024 -9.493 -6.363 -6.197 -6.137 (eV/atom).